Compound: ScNbOs2
Source: OQMD
Functional: PBE
Structure: optimized geometry

Values from the calculation:
Uncorrected energy in eV per atom: -10.152
Theoretical density in g/cm3: 13.25
Calculated volume in Å³/f.u.: 64.98
Relative energy among the computed polymorphs in meV per atom: 0.0

a = 6.382 Å, b = 6.382 Å, c = 6.382 Å
α = 90.00°, β = 90.00°, γ = 90.00°
Space group Fm-3m (No. 225)
Unique sites:
Sc 0.000 0.000 0.000 x4
Nb 0.000 0.000 0.500 x4
Os 0.250 0.250 0.250 x8


Compound: Sc4SiAuN2
Source: OQMD
Functional: PBE
Structure: optimized geometry

Values from the calculation:
Uncorrected energy in eV per atom: -7.557
Theoretical density in g/cm3: 5.82
Calculated volume in Å³/f.u.: 123.41

a = 3.2172 Å, b = 3.2172 Å, c = 13.7675 Å
α = 90.00°, β = 90.00°, γ = 120.00°
Space group P-6m2 (No. 187)
Unique sites:
Sc 0.0000 0.0000 0.1556 x2
Sc 0.6667 0.3333 0.3360 x2
Si 0.6667 0.3333 0.0000 x1
Au 0.0000 0.0000 0.5000 x1
N 0.3333 0.6667 0.2440 x2


Compound: AlIrNO
Source: OQMD
Functional: PBE
Structure: optimized geometry

Values from the calculation:
Uncorrected energy in eV per atom: -6.938
Theoretical density in g/cm3: 9.80
Calculated volume in Å³/f.u.: 42.24
Relative energy among the computed polymorphs in meV per atom: 649.0

a = 3.686 Å, b = 3.686 Å, c = 6.217 Å
α = 90.00°, β = 90.00°, γ = 90.00°
Space group P4/nmm (No. 129, origin choice 2)
Unique sites:
Al 0.250 0.250 0.097 x2
Ir 0.250 0.750 0.500 x2
N 0.250 0.250 0.677 x2
O 0.250 0.750 0.000 x2


Compound: K2Li3Ni3N3
Source: OQMD
Functional: PBE
Structure: optimized geometry

Values from the calculation:
Uncorrected energy in eV per atom: -4.730
Theoretical density in g/cm3: 2.72
Calculated volume in Å³/f.u.: 193.51

a = 8.0318 Å, b = 8.0318 Å, c = 3.4638 Å
α = 90.00°, β = 90.00°, γ = 120.00°
Space group P-62m (No. 189)
Unique sites:
K 0.3333 0.6667 0.0000 x2
Li 0.0000 0.1951 0.0000 x3
Ni 0.0000 0.7186 0.5000 x3
N 0.0000 0.7150 0.0000 x3


Compound: LiTlZn
Source: OQMD
Functional: PBE
Structure: optimized geometry

Values from the calculation:
Uncorrected energy in eV per atom: -1.786
Theoretical density in g/cm3: 6.87
Calculated volume in Å³/f.u.: 66.88
Relative energy among the computed polymorphs in meV per atom: 134.0

a = 6.444 Å, b = 6.444 Å, c = 6.444 Å
α = 90.00°, β = 90.00°, γ = 90.00°
Space group F-43m (No. 216)
Unique sites:
Li 0.000 0.000 0.000 x4
Tl 0.250 0.250 0.250 x4
Zn 0.000 0.000 0.500 x4


Compound: CdCu7
Source: OQMD
Functional: PBE
Structure: optimized geometry

Values from the calculation:
Uncorrected energy in eV per atom: -3.296
Theoretical density in g/cm3: 8.17
Calculated volume in Å³/f.u.: 113.29
Relative energy among the computed polymorphs in meV per atom: 0.0

a = 2.650 Å, b = 3.407 Å, c = 25.095 Å
α = 90.00°, β = 90.00°, γ = 90.00°
Space group Pmmn (No. 59, origin choice 2)
Unique sites:
Cd 0.250 0.250 0.091 x2
Cu 0.250 0.250 0.215 x2
Cu 0.250 0.250 0.319 x2
Cu 0.250 0.250 0.422 x2
Cu 0.250 0.250 0.526 x2
Cu 0.250 0.250 0.629 x2
Cu 0.250 0.250 0.733 x2
Cu 0.250 0.250 0.837 x2


Compound: SmTeAs
Source: OQMD
Functional: PBE
Structure: optimized geometry

Values from the calculation:
Uncorrected energy in eV per atom: -5.125
Theoretical density in g/cm3: 6.60
Calculated volume in Å³/f.u.: 88.83

a = 7.692 Å, b = 4.152 Å, c = 11.126 Å
α = 90.00°, β = 90.00°, γ = 90.00°
Space group Pnma (No. 62)
Unique sites:
Sm 0.018 0.250 0.179 x4
Te 0.242 0.750 0.440 x4
As 0.197 0.250 0.702 x4


Compound: ErCoB
Source: OQMD
Functional: PBE
Structure: optimized geometry

Values from the calculation:
Uncorrected energy in eV per atom: -5.993
Theoretical density in g/cm3: 8.57
Calculated volume in Å³/f.u.: 45.95
Relative energy among the computed polymorphs in meV per atom: 535.7

a = 5.686 Å, b = 5.686 Å, c = 5.686 Å
α = 90.00°, β = 90.00°, γ = 90.00°
Space group F-43m (No. 216)
Unique sites:
Er 0.000 0.000 0.000 x4
Co 0.000 0.000 0.500 x4
B 0.250 0.250 0.250 x4


Compound: NdDyI2O2
Source: OQMD
Functional: PBE
Structure: optimized geometry

Values from the calculation:
Uncorrected energy in eV per atom: -6.417
Theoretical density in g/cm3: 6.64
Calculated volume in Å³/f.u.: 148.28

a = 4.004 Å, b = 4.004 Å, c = 9.247 Å
α = 90.00°, β = 90.00°, γ = 90.00°
Space group P4mm (No. 99)
Unique sites:
Nd 0.000 0.000 0.000 x1
Dy 0.500 0.500 0.754 x1
I 0.000 0.000 0.549 x1
I 0.500 0.500 0.206 x1
O 0.000 0.500 0.869 x2


Compound: TbPdPbSe3
Source: OQMD
Functional: PBE
Structure: optimized geometry

Values from the calculation:
Uncorrected energy in eV per atom: -4.971
Theoretical density in g/cm3: 7.91
Calculated volume in Å³/f.u.: 149.00

a = 3.937 Å, b = 14.248 Å, c = 10.626 Å
α = 90.00°, β = 90.00°, γ = 90.00°
Space group Cmcm (No. 63)
Unique sites:
Tb 0.000 0.000 0.000 x4
Pd 0.000 0.469 0.250 x4
Pb 0.000 0.219 0.750 x4
Se 0.000 0.083 0.250 x4
Se 0.000 0.356 0.054 x8


Compound: AlCu2W
Source: OQMD
Functional: PBE
Structure: optimized geometry

Values from the calculation:
Uncorrected energy in eV per atom: -5.686
Theoretical density in g/cm3: 10.27
Calculated volume in Å³/f.u.: 54.64

a = 6.024 Å, b = 6.024 Å, c = 6.024 Å
α = 90.00°, β = 90.00°, γ = 90.00°
Space group F-43m (No. 216)
Unique sites:
Al 0.000 0.000 0.000 x4
Cu 0.000 0.000 0.500 x4
Cu 0.250 0.250 0.750 x4
W 0.250 0.250 0.250 x4


Compound: Sc4Pb3W2N3
Source: OQMD
Functional: PBE
Structure: optimized geometry

Values from the calculation:
Uncorrected energy in eV per atom: -7.934
Theoretical density in g/cm3: 10.02
Calculated volume in Å³/f.u.: 200.76

a = 9.963 Å, b = 5.798 Å, c = 14.267 Å
α = 90.00°, β = 102.98°, γ = 90.00°
Space group C2/c (No. 15)
Unique sites:
Sc 0.110 0.089 0.081 x8
Sc 0.226 0.079 0.419 x8
Pb 0.000 0.098 0.750 x4
Pb 0.161 0.423 0.251 x8
W 0.056 0.423 0.931 x8
N 0.086 0.242 0.500 x8
N 0.250 0.250 0.000 x4